The following is a DFT calculation (GGA-PBE) of crystalline Zn2P2Rh at its relaxed geometry.

Cell lengths 5.9298, 5.9298, 4.7956 Å; angles 90.00, 90.00, 90.00 degrees
Positions (direct):
Rh 0.5000 0.5000 0.0000
Zn 0.3320 0.8320 0.5000
P 0.3673 0.8673 0.0000
Zn 0.6680 0.1680 0.5000
P 0.1327 0.3673 0.0000
P 0.6327 0.1327 0.0000
Zn 0.8320 0.6680 0.5000
P 0.8673 0.6327 0.0000
Zn 0.1680 0.3320 0.5000
Rh 0.0000 0.0000 0.0000

Calculated values
ρ: 5.8 g/cm3
energy: -4.305 eV per atom
size of the total moment: 0.00 μB/f.u.
V: 168.63 Å³ per cell